[1]
The following is a PBE calculation of a relaxed Tb4Pm9Tl11 crystal, from Alexandria via LeMat-Bulk.

The total energy is -3.94 eV per atom. For the formation energy from the elements, the calculation gives -7.224 eV per formula unit. Its total magnetic moment is 0.00 μB per cell.

It has space group Cmmm (No. 65), with a = 17.971 Å, b = 21.532 Å, c = 3.607 Å, α = 90.00°, β = 90.00° and γ = 90.00°. The distinct sites, in fractional coordinates, are Tb at (0.152, 0.084, 0.000), Pm at (0.000, 0.000, 0.000), Pm at (0.117, 0.240, 0.000), Pm at (0.119, 0.412, 0.000), Tl at (0.000, 0.136, 0.500), Tl at (0.000, 0.328, 0.500), Tl at (0.000, 0.500, 0.500), Tl at (0.237, 0.500, 0.500) and Tl at (0.243, 0.326, 0.500).



[2]
The following is a PBE calculation of a relaxed TbPm12Tl3 crystal, from Alexandria via LeMat-Bulk.

The total energy is -4.44 eV per atom. For the formation energy from the elements, the calculation gives -2.281 eV per formula unit. Its total magnetic moment is 0.00 μB per cell.

It has space group P4/mmm (No. 123), with a = 4.971 Å, b = 4.971 Å, c = 20.329 Å, α = 90.00°, β = 90.00° and γ = 90.00°. The distinct sites, in fractional coordinates, are Tb at (0.000, 0.000, 0.000), Pm at (0.000, 0.500, 0.130), Pm at (0.000, 0.500, 0.377), Pm at (0.500, 0.500, 0.000), Pm at (0.500, 0.500, 0.254), Pm at (0.500, 0.500, 0.500), Tl at (0.000, 0.000, 0.256) and Tl at (0.000, 0.000, 0.500).



[3]
The following is a PBE calculation of a relaxed TbPm4Tl2 crystal, from Alexandria via LeMat-Bulk.

The total energy is -4.02 eV per atom. The value obtained for the energy above the most stable polymorph in this dataset is 0.000 eV per atom. For the formation energy from the elements, the calculation gives 0.239 eV per formula unit. Its total magnetic moment is 0.01 μB per cell.

It has space group R-3m (No. 166, hexagonal axes), with a = 5.5803 Å, b = 5.5803 Å, c = 26.9778 Å, α = 90.00°, β = 90.00° and γ = 120.00°. The distinct sites, in fractional coordinates, are Tb at (0.0000, 0.0000, 0.0000), Pm at (0.0000, 0.0000, 0.2329), Pm at (0.0000, 0.0000, 0.3694) and Tl at (0.0000, 0.0000, 0.1151).



[4]
The following is a PBE calculation of a relaxed Tb2Pm5Tl crystal, from Alexandria via LeMat-Bulk.

The total energy is -4.47 eV per atom. The value obtained for the energy above the most stable polymorph in this dataset is 0.000 eV per atom. For the formation energy from the elements, the calculation gives -0.414 eV per formula unit. Its total magnetic moment is 0.00 μB per cell.

It has space group Pbam (No. 55), with a = 7.159 Å, b = 14.339 Å, c = 5.016 Å, α = 90.00°, β = 90.00° and γ = 90.00°. The distinct sites, in fractional coordinates, are Tb at (0.246, 0.124, 0.000), Pm at (0.000, 0.000, 0.500), Pm at (0.003, 0.740, 0.500), Pm at (0.248, 0.874, 0.000) and Tl at (0.000, 0.500, 0.500).



[5]
The following is a PBE calculation of a relaxed Tb7PmTl5 crystal, from Alexandria via LeMat-Bulk.

The total energy is -3.93 eV per atom. For the formation energy from the elements, the calculation gives -2.119 eV per formula unit. Its total magnetic moment is 0.00 μB per cell.

It has space group Imm2 (No. 44), with a = 6.560 Å, b = 10.818 Å, c = 10.944 Å, α = 90.00°, β = 90.00° and γ = 90.00°. The distinct sites, in fractional coordinates, are Tb at (0.000, 0.000, 0.000), Tb at (0.000, 0.000, 0.317), Tb at (0.000, 0.306, 0.126), Tb at (0.000, 0.340, 0.642), Tb at (0.000, 0.500, 0.367), Pm at (0.000, 0.000, 0.656), Tl at (0.000, 0.500, 0.901) and Tl at (0.250, 0.241, 0.883).



[6]
The following is a PBE calculation of a relaxed TbPmTl crystal, from Alexandria via LeMat-Bulk.

The total energy is -3.96 eV per atom. The value obtained for the energy above the most stable polymorph in this dataset is 0.226 eV per atom. For the formation energy from the elements, the calculation gives -0.119 eV per formula unit. Its total magnetic moment is 1.74 μB per cell.

It has space group F-43m (No. 216), with a = 7.440 Å, b = 7.440 Å, c = 7.440 Å, α = 90.00°, β = 90.00° and γ = 90.00°. The distinct sites, in fractional coordinates, are Tb at (0.000, 0.000, 0.000), Pm at (0.000, 0.000, 0.500) and Tl at (0.250, 0.250, 0.250).